The following is a DFT calculation (PBE-GGA) of a relaxed structure of LaYMo2.

Calculated values
E_form (eV/atom): 0.760
SG: I4/mmm

abc: 5.741 5.741 5.741
angles: 136.54 136.54 63.14
Element x y z (fractional)
Y: 0.250 0.750 0.500
La: 0.750 0.250 0.500
Mo: 0.000 0.000 0.000
Mo: 0.500 0.500 0.000